# 1
Entry from the Alexandria database: a relaxed structure of RbAgW (PBE-GGA).

Lattice parameters (Å, degrees): 13.3561 5.1543 5.0728 90.00 90.00 90.00
Last column: nearest neighbours and their distance in Å.
Element x y z (fractional)
1 Rb 0.7665 0.2500 0.9794  2 Ag 3.38, 1 W 3.59, 4 Rb 3.64
2 Rb 0.7335 0.7500 0.4794  2 Ag 3.38, 1 W 3.59, 4 Rb 3.64
3 Rb 0.2335 0.7500 0.0206  2 Ag 3.38, 1 W 3.59, 4 Rb 3.64
4 Rb 0.2665 0.2500 0.5206  2 Ag 3.38, 1 W 3.59, 4 Rb 3.64
5 Ag 0.0000 0.0000 0.0000  2 Ag 2.58, 4 W 2.84-2.85
6 Ag 0.5000 0.5000 0.5000  2 Ag 2.58, 4 W 2.84-2.85
7 Ag 0.5000 0.0000 0.5000  2 Ag 2.58, 4 W 2.84-2.85
8 Ag 0.0000 0.5000 0.0000  2 Ag 2.58, 4 W 2.84-2.85
9 W 0.4976 0.2500 0.0005  2 W 2.58, 4 Ag 2.84-2.85
10 W 0.0024 0.7500 0.5005  2 W 2.58, 4 Ag 2.84-2.85
11 W 0.5024 0.7500 0.9995  2 W 2.58, 4 Ag 2.84-2.85
12 W 0.9976 0.2500 0.4995  2 W 2.58, 4 Ag 2.84-2.85

Calculated density: 7.17 g/cm³
SG: Pnma
DFT formation energy: 1.09 eV per atom


# 2
Entry from the Alexandria database: a relaxed structure of La2PmDyTl2 (PBE-GGA).

Lattice parameters (Å, degrees): 5.1803 6.9948 10.3477 90.00 90.00 90.00
Last column: nearest neighbours and their distance in Å.
Element x y z (fractional)
1 La 0.5000 0.0860 0.0612  2 La 3.26, 3 Tl 3.41-3.50
2 La 0.0000 0.3133 0.1760  2 La 3.26, 5 Tl 3.35-3.63
3 La 0.5000 0.5860 0.9388  2 La 3.26, 3 Tl 3.41-3.50
4 La 0.0000 0.8133 0.8240  2 La 3.26, 5 Tl 3.35-3.63
5 Pm 0.0000 0.9586 0.4557  5 Tl 3.26-3.48, 2 Pm 3.62, 2 Dy 3.63
6 Pm 0.0000 0.4586 0.5443  5 Tl 3.26-3.48, 2 Pm 3.62, 2 Dy 3.63
7 Dy 0.5000 0.1702 0.6939  4 Tl 3.19-3.24
8 Dy 0.5000 0.6702 0.3061  4 Tl 3.19-3.24
9 Tl 0.0000 0.2955 0.8520  2 Dy 3.19, 4 La 3.35-3.41, 1 Pm 3.38
10 Tl 0.5000 0.2221 0.3864  2 Dy 3.20-3.24, 4 Pm 3.26-3.48, 3 La 3.44-3.50
11 Tl 0.0000 0.7955 0.1480  2 Dy 3.19, 4 La 3.35-3.41, 1 Pm 3.38
12 Tl 0.5000 0.7221 0.6136  2 Dy 3.20-3.24, 4 Pm 3.26-3.48, 3 La 3.44-3.50

Calculated density: 8.80 g/cm³
SG: Pmc2_1
DFT formation energy: -0.29 eV per atom


# 3
Entry from the Alexandria database: a relaxed structure of YTmMgCu (PBE-GGA).

Lattice parameters (Å, degrees): 5.1022 5.1022 5.1022 60.00 60.00 60.00
Last column: nearest neighbours and their distance in Å.
Element x y z (fractional)
1 Y 0.7500 0.7500 0.7500  4 Mg 3.12, 4 Cu 3.12
2 Mg 0.5000 0.5000 0.5000  4 Tm 3.12, 4 Y 3.12
3 Tm 0.2500 0.2500 0.2500  4 Cu 3.12, 4 Mg 3.12
4 Cu 0.0000 0.0000 0.0000  4 Y 3.12, 4 Tm 3.12

Calculated density: 6.11 g/cm³
SG: F-43m
DFT formation energy: -0.07 eV per atom


# 4
Entry from the Alexandria database: a relaxed structure of Ac4DyTm3Bi8 (PBE-GGA).

Lattice parameters (Å, degrees): 9.3399 9.3142 9.3401 120.09 120.00 90.00
Last column: nearest neighbours and their distance in Å.
Element x y z (fractional)
1 Ac 0.5000 0.0000 0.0000  6 Bi 3.40
2 Ac 0.5000 0.0000 0.5000  6 Bi 3.42
3 Ac 0.0000 0.0000 0.0000  6 Bi 3.42
4 Ac 0.0000 0.0000 0.5000  6 Bi 3.42
5 Dy 0.0000 0.5000 0.0000  6 Bi 3.20
6 Tm 0.5000 0.5000 0.0000  6 Bi 3.19
7 Tm 0.5000 0.5000 0.5000  6 Bi 3.19
8 Tm 0.0000 0.5000 0.5000  6 Bi 3.19
9 Bi 0.2423 0.7247 0.9825  2 Tm 3.19, 1 Dy 3.20, 3 Ac 3.40-3.42
10 Bi 0.2423 0.7247 0.4846  2 Tm 3.19, 1 Dy 3.20, 3 Ac 3.40-3.42
11 Bi 0.2588 0.2764 0.5176  3 Tm 3.19, 3 Ac 3.42
12 Bi 0.7402 0.7247 0.9825  2 Tm 3.19, 1 Dy 3.20, 3 Ac 3.40-3.42
13 Bi 0.2598 0.2753 0.0175  2 Tm 3.19, 1 Dy 3.20, 3 Ac 3.40-3.42
14 Bi 0.7412 0.7236 0.4824  3 Tm 3.19, 3 Ac 3.42
15 Bi 0.7577 0.2753 0.5154  2 Tm 3.19, 1 Dy 3.20, 3 Ac 3.40-3.42
16 Bi 0.7577 0.2753 0.0175  2 Tm 3.19, 1 Dy 3.20, 3 Ac 3.40-3.42

Calculated density: 9.40 g/cm³
SG: R-3m
DFT formation energy: -0.88 eV per atom


Q: Which formula does entry 4 have?
A: Ac4DyTm3Bi8